(1)
Below is In12SnHg6 after structural relaxation, with properties calculated at the GGA-PBE level.

Summary:
Space-group type: R-3
Energy of formation from the pure elements, eV/atom: 0.081
Mass density, g/cm3: 7.64
Energy relative to the lowest polymorph listed for this composition, eV per atom: 0.0461
Spin magnetization, μB per cell: 0.00
Total DFT energy (no corrections), eV/atom: -1.95

Cell: 8.518 8.518 8.518 Å, 99.90 99.90 99.90°
Atoms (fractional coordinates):
In: 0.545 0.401 0.823
In: 0.042 0.896 0.325
In: 0.675 0.958 0.104
In: 0.455 0.599 0.177
In: 0.104 0.675 0.958
In: 0.896 0.325 0.042
In: 0.325 0.042 0.896
In: 0.401 0.823 0.545
In: 0.958 0.104 0.675
In: 0.823 0.545 0.401
In: 0.599 0.177 0.455
In: 0.177 0.455 0.599
Sn: 0.000 0.000 0.000
Hg: 0.287 0.145 0.566
Hg: 0.566 0.287 0.145
Hg: 0.855 0.434 0.713
Hg: 0.145 0.566 0.287
Hg: 0.434 0.713 0.855
Hg: 0.713 0.855 0.434



(2)
Below is LiSb2Se after structural relaxation, with properties calculated at the GGA-PBE level.

Summary:
Space-group type: Pmmm
Mass density, g/cm3: 5.70
Spin magnetization, μB per cell: 0.00
Total DFT energy (no corrections), eV/atom: -3.44
E_form (uncorrected), eV/atom: -0.03

Cell: 3.690 4.392 5.923 Å, 90.00 90.00 90.00°
Atoms (fractional coordinates):
Sb: 0.000 0.000 0.998
Sb: 0.000 0.000 0.502
Se: 0.500 0.500 0.250
Li: 0.500 0.500 0.750



(3)
Below is Li2Ag8Pd after structural relaxation, with properties calculated at the GGA-PBE level.

Summary:
Space-group type: P-3m1
Energy of formation from the pure elements, eV/atom: -0.019
Mass density, g/cm3: 7.95
Energy relative to the lowest polymorph listed for this composition, eV per atom: 0.0825
Spin magnetization, μB per cell: 0.00
Total DFT energy (no corrections), eV/atom: -2.91

Cell: 7.599 5.587 5.587 Å, 120.00 90.00 90.00°
Atoms (fractional coordinates):
Ag: 0.207 0.334 0.167
Ag: 0.107 0.333 0.667
Ag: 0.207 0.833 0.666
Ag: 0.793 0.666 0.833
Ag: 0.793 0.167 0.833
Ag: 0.793 0.167 0.334
Ag: 0.893 0.667 0.333
Ag: 0.207 0.833 0.167
Pd: 0.500 0.000 0.000
Li: 0.532 0.667 0.333
Li: 0.468 0.333 0.667



(4)
Below is PuSn2Au9 after structural relaxation, with properties calculated at the GGA-PBE level.

Summary:
Space-group type: R-3m
Energy of formation from the pure elements, eV/atom: -0.112
Mass density, g/cm3: 14.67
Spin magnetization, μB per cell: 5.74
Total DFT energy (no corrections), eV/atom: -4.43

Cell: 5.640 5.640 9.819 Å, 73.31 73.31 60.00°
Atoms (fractional coordinates):
Au: 0.414 0.919 0.252
Au: 0.081 0.586 0.748
Au: 0.333 0.333 0.000
Au: 0.586 0.081 0.748
Au: 0.586 0.586 0.748
Au: 0.414 0.414 0.252
Au: 0.667 0.667 0.000
Au: 0.919 0.414 0.252
Au: 0.500 0.500 0.500
Sn: 0.146 0.146 0.561
Sn: 0.854 0.854 0.439
Pu: 0.000 0.000 0.000



(5)
Below is BaGa3Ag5 after structural relaxation, with properties calculated at the GGA-PBE level.

Summary:
Space-group type: Cmcm
Energy of formation from the pure elements, eV/atom: -0.169
Mass density, g/cm3: 7.48
Spin magnetization, μB per cell: 0.00
Total DFT energy (no corrections), eV/atom: -2.98

Cell: 4.216 7.258 13.439 Å, 90.00 90.00 106.89°
Atoms (fractional coordinates):
Ga: 0.619 0.238 0.047
Ga: 0.123 0.246 0.750
Ga: 0.877 0.754 0.250
Ga: 0.381 0.762 0.953
Ga: 0.619 0.238 0.453
Ga: 0.381 0.762 0.547
Ag: 0.450 0.899 0.146
Ag: 0.196 0.391 0.564
Ag: 0.804 0.609 0.064
Ag: 0.000 0.000 0.500
Ag: 0.804 0.609 0.436
Ag: 0.196 0.391 0.936
Ag: 0.000 0.000 0.000
Ag: 0.550 0.101 0.646
Ag: 0.450 0.899 0.354
Ag: 0.550 0.101 0.854
Ba: 0.835 0.670 0.750
Ba: 0.165 0.330 0.250



(6)
Below is PmCdIr after structural relaxation, with properties calculated at the GGA-PBE level.

Summary:
Space-group type: Cmcm
Energy of formation from the pure elements, eV/atom: -0.512
Mass density, g/cm3: 10.53
Energy relative to the lowest polymorph listed for this composition, eV per atom: 0.0000
Spin magnetization, μB per cell: 0.00
Total DFT energy (no corrections), eV/atom: -5.35

Cell: 4.087 4.000 8.900 Å, 102.99 90.00 90.00°
Atoms (fractional coordinates):
Cd: 0.750 0.292 0.584
Cd: 0.250 0.708 0.416
Ir: 0.250 0.546 0.093
Ir: 0.750 0.454 0.907
Pm: 0.250 0.904 0.809
Pm: 0.750 0.096 0.191



(7)
Below is MnNbSe2N after structural relaxation, with properties calculated at the GGA-PBE level.

Summary:
Space-group type: P4/mmm
Mass density, g/cm3: 5.07
Energy relative to the lowest polymorph listed for this composition, eV per atom: 0.0000
Spin magnetization, μB per cell: 5.11
Total DFT energy (no corrections), eV/atom: -6.80
E_form (uncorrected), eV/atom: 0.11

Cell: 5.190 5.190 3.888 Å, 90.00 90.00 90.00°
Atoms (fractional coordinates):
Se: 0.000 0.500 0.000
Se: 0.500 0.000 0.000
N: 0.000 0.000 0.500
Mn: 0.500 0.500 0.500
Nb: 0.000 0.000 0.000



(8)
Below is La5OsCl5 after structural relaxation, with properties calculated at the GGA-PBE level.

Summary:
Space-group type: C2/m
Mass density, g/cm3: 5.57
Spin magnetization, μB per cell: 0.00
Total DFT energy (no corrections), eV/atom: -5.61
E_form (uncorrected), eV/atom: -1.51

Cell: 5.972 7.152 8.653 Å, 107.74 90.00 114.68°
Atoms (fractional coordinates):
Cl: 0.000 0.000 0.500
Cl: 0.652 0.303 0.798
Cl: 0.669 0.337 0.354
Cl: 0.348 0.697 0.202
Cl: 0.331 0.663 0.646
La: 0.831 0.661 0.144
La: 0.151 0.301 0.302
La: 0.500 0.000 0.000
La: 0.849 0.699 0.698
La: 0.169 0.339 0.856
Os: 0.000 0.000 0.000